VASP calculation (PBE with a Hubbard U) on a relaxed structure of NaPuCoF6.

The structure in CIF format:
```
data_NaPuCoF6
_chemical_formula_sum 'Na2 Pu2 Co2 F12'
_symmetry_space_group_name_H-M 'P -3 1 c'
_symmetry_Int_Tables_number 163
_symmetry_space_group_name_Hall '-P 3 2c'
_cell_length_a 5.7789
_cell_length_b 5.7789
_cell_length_c 9.0446
_cell_angle_alpha 90.00
_cell_angle_beta 90.00
_cell_angle_gamma 120.00
loop_
_atom_site_label
_atom_site_type_symbol
_atom_site_fract_x
_atom_site_fract_y
_atom_site_fract_z
_atom_site_occupancy
Na1 Na 0.3333 0.6667 0.2500 1
Pu1 Pu 0.3333 0.6667 0.7500 1
Co1 Co 0.0000 0.0000 0.0000 1
F1 F 0.0031 0.3093 0.6215 1
```

Calculated values
The electronic total energy comes out at -6.408 eV per atom. For the density of states at the Fermi level, the calculation gives 6.4 states/eV/f.u.